[1]
5
Lattice="3.9934 0.0000 0.0000 0.0000 4.0949 0.0000 0.0000 0.0000 4.0949" Properties=species:S:1:pos:R:3 comment="NbGeN2F | Alexandria | GGA-PBEsol | optimized geometry" formation_energy_uncorrected_ev_per_atom=-0.4322 dos_at_fermi_per_ev_cell=1.02 pbc="T T T"
Nb 0.0000 0.0000 0.0000
N 0.0000 0.0000 2.0475
N 0.0000 2.0475 0.0000
Ge 1.9967 2.0475 2.0475
F 1.9967 0.0000 0.0000

[2]
4
Lattice="-1.8552 0.5214 -2.7548 -1.6070 -2.9046 0.5325 -3.8102 2.6710 3.0715" Properties=species:S:1:pos:R:3 comment="Ta2BeAl | Alexandria | GGA-PBEsol | optimized geometry" ef_ev_per_fu=0.6 e_above_lowest_polymorph_ev_per_fu=1.25 dos_at_fermi_per_ev_cell=1.81 pbc="T T T"
Be -4.6228 0.8355 1.2199
Al -1.9350 1.3565 1.5599
Ta -0.0014 0.0010 0.0011
Ta -2.6183 -0.5696 -0.3960

[3]
5
Lattice="3.9437 0.0000 0.0000 0.0000 5.1471 0.0000 0.0000 0.0000 5.1471" Properties=species:S:1:pos:R:3 comment="ScAsSe2N | Alexandria | GGA-PBEsol | optimized geometry" formation_energy_uncorrected_ev_per_atom=0.2435 dos_at_fermi_per_ev_cell=3.33 pbc="T T T"
Sc 0.0000 0.0000 0.0000
As 1.9718 2.5736 2.5736
Se 0.0000 0.0000 2.5736
Se 0.0000 2.5736 0.0000
N 1.9718 0.0000 0.0000

[4]
4
Lattice="-1.4513 3.5347 0.9853 -3.5193 -1.6407 0.7024 1.0286 -0.6143 3.7187" Properties=species:S:1:pos:R:3 comment="Mg2MnFe | Alexandria | GGA-PBEsol | optimized geometry" ef_ev_per_fu=1.6 e_above_lowest_polymorph_ev_per_fu=0.00 dos_at_fermi_per_ev_cell=2.78 pbc="T T T"
Fe 0.5143 -0.3071 1.8593
Mg -1.7597 -0.8204 0.3512
Mg -0.7256 1.7673 0.4927
Mn -1.9710 0.6398 2.7032

[5]
10
Lattice="3.2493 0.0000 0.0000 0.0000 6.6655 0.0000 0.0000 0.0000 6.6655" Properties=species:S:1:pos:R:3 comment="Ti2Cu2Au | Alexandria | GGA-PBEsol | optimized geometry" ef_ev_per_fu=-0.9 dos_at_fermi_per_ev_cell=10.64 pbc="T T T"
Au 0.0000 0.0000 0.0000
Au 0.0000 3.3327 3.3327
Cu 0.0000 2.4842 5.8170
Cu 0.0000 5.8170 4.1812
Cu 0.0000 4.1812 0.8485
Cu 0.0000 0.8485 2.4842
Ti 1.6247 1.1283 4.4610
Ti 1.6247 4.4610 5.5372
Ti 1.6247 5.5372 2.2045
Ti 1.6247 2.2045 1.1283

[6]
5
Lattice="-1.5537 3.9394 2.0128 -2.1044 -4.0885 0.9164 4.6278 -1.0992 5.7234" Properties=species:S:1:pos:R:3 comment="EuCd2Sb2 | Alexandria | GGA-PBEsol | optimized geometry" formation_energy_uncorrected_ev_per_atom=-0.4956 dos_at_fermi_per_ev_cell=11.50 pbc="T T T"
Eu 0.0000 0.0000 0.0000
Sb -0.8131 -1.6756 2.6519
Sb 1.7828 0.4274 6.0008
Cd 1.0253 -2.1123 4.9254
Cd -0.0556 0.8640 3.7272

[7]
4
Lattice="-0.2918 3.6924 -2.6471 0.1635 -2.6423 -3.7037 -5.1035 -0.9034 3.2172" Properties=species:S:1:pos:R:3 comment="K2CuSb | Alexandria | GGA-PBEsol | optimized geometry" formation_energy_uncorrected_ev_per_atom=0.1598 dos_at_fermi_per_ev_cell=1.24 pbc="T T T"
Cu 0.0000 0.0000 0.0000
K -2.7297 1.6570 -1.3026
K -2.5021 -1.5103 -1.8310
Sb -0.0641 0.5251 -3.1754

[8]
8
Lattice="4.8872 0.0000 0.0000 -2.4436 4.6770 0.0096 0.0000 2.5448 4.1723" Properties=species:S:1:pos:R:3 comment="SiAsN2 | Alexandria | GGA-PBEsol | optimized geometry" formation_energy_uncorrected_ev_per_atom=-0.1113 dos_at_fermi_per_ev_cell=2.89 pbc="T T T"
As 2.4436 4.2471 3.1341
As 0.0000 0.0000 0.0000
Si 0.0000 2.9747 1.0479
Si 2.4436 1.2724 2.0862
N 0.7223 4.4621 1.5718
N -0.7223 5.7345 3.6580
N 3.6654 2.4997 2.1837
N 1.2218 1.7475 0.9504

[9]
4
Lattice="-0.5434 1.7523 -1.9817 -3.5315 0.7435 1.6258 2.2028 2.6456 3.5752" Properties=species:S:1:pos:R:3 comment="AlNiRh2 | Alexandria | GGA-PBEsol | optimized geometry" ef_ev_per_fu=-1.5 dos_at_fermi_per_ev_cell=4.45 pbc="T T T"
Al 0.9626 3.1271 0.6610
Ni -1.3477 2.5058 0.7452
Rh 0.3183 0.5806 0.4260
Rh -0.1422 3.3325 2.9856

[10]
5
Lattice="4.3561 0.0000 0.0000 0.0000 4.3561 0.0000 0.0000 0.0000 4.4942" Properties=species:S:1:pos:R:3 comment="HfMnNi2Pt | Alexandria | GGA-PBEsol | optimized geometry" ef_ev_per_fu=7.1 dos_at_fermi_per_ev_cell=3.15 pbc="T T T"
Ni 0.0000 2.1780 0.0000
Ni 2.1780 0.0000 0.0000
Mn 0.0000 0.0000 2.2471
Hf 0.0000 0.0000 0.0000
Pt 2.1780 2.1780 2.2471

[11]
56
Lattice="7.8616 0.0000 0.0000 0.0000 10.6761 -0.0003 0.0000 -2.9941 13.3711" Properties=species:S:1:pos:R:3 comment="AsHPb4Cl4O4 | Alexandria | GGA-PBEsol | optimized geometry" energy_ev_per_atom=-5.009 dos_at_fermi_per_ev_cell=0.00 pbc="T T T"
As 3.5219 1.0744 2.6728
As 7.4527 1.2695 10.6981
As 4.3397 6.6076 10.6979
As 0.4089 6.4124 2.6726
H 1.9374 -0.2661 10.6642
H 5.8682 2.6100 2.7067
H 5.9242 7.9480 2.7066
H 1.9934 5.0720 10.6640
Pb 2.2288 5.5294 5.5444
Pb 6.1596 7.4906 7.8262
Pb 5.6328 2.1526 7.8263
Pb 1.7020 0.1914 5.5446
Pb 3.1742 8.4892 2.5136
Pb 7.1050 4.5309 10.8569
Pb 4.6874 -0.8072 10.8571
Pb 0.7566 3.1511 2.5138
Pb 2.0287 -2.6315 12.6369
Pb 5.9595 4.9754 0.7340
Pb 5.8329 10.3135 0.7338
Pb 1.9021 2.7065 12.6367
Pb 2.0206 8.0982 8.8907
Pb 5.9514 4.9218 4.4799
Pb 5.8410 -0.4162 4.4800
Pb 1.9102 2.7602 8.8909
Cl 7.4281 7.6873 10.4825
Cl 3.4973 5.3327 2.8881
Cl 0.4335 -0.0054 2.8882
Cl 4.3643 2.3493 10.4827
Cl 4.3987 4.7270 13.3299
Cl 0.4679 8.2931 0.0407
Cl 3.4629 2.9550 0.0408
Cl 7.3937 -0.6111 13.3301
Cl 0.5153 5.2591 7.7900
Cl 4.4461 7.7609 5.5806
Cl 7.3463 2.4228 5.5808
Cl 3.4155 -0.0789 7.7901
Cl 3.1224 2.7725 5.4627
Cl 7.0532 -0.4286 7.9082
Cl 4.7392 4.9095 7.9080
Cl 0.8084 8.1105 5.4625
O 3.4439 -0.1887 4.0240
O 7.3747 2.5326 9.3469
O 4.4177 7.8706 9.3467
O 0.4869 5.1494 4.0238
O 3.4704 -0.1594 1.3428
O 7.4012 2.5034 12.0281
O 4.3912 7.8414 12.0279
O 0.4604 5.1786 1.3426
O 5.3115 1.1365 2.7168
O 1.3807 1.2074 10.6541
O 2.5501 6.5454 10.6539
O 6.4809 6.4746 2.7167
O 2.3925 -1.1880 10.6774
O 6.3233 3.5320 2.6935
O 5.4691 8.8700 2.6933
O 1.5383 4.1500 10.6772

[12]
3
Lattice="-0.1353 -2.3805 2.7741 -0.2178 -2.7658 -2.3840 4.6738 2.2610 -0.2436" Properties=species:S:1:pos:R:3 comment="LiYAu | Alexandria | GGA-PBEsol | optimized geometry" ef_ev_per_fu=-1.6 e_above_lowest_polymorph_ev_per_fu=0.00 dos_at_fermi_per_ev_cell=1.22 pbc="T T T"
Y 1.2285 -2.6707 0.1798
Au 4.2909 -2.8833 0.1467
Li 3.1221 -0.2167 -0.0338

[13]
21
Lattice="-2.7894 -0.6038 2.7559 -2.1638 -2.0291 -2.6347 10.2524 -13.0949 4.6523" Properties=species:S:1:pos:R:3 comment="Sr2Li2Nb4O13 | Alexandria | GGA-PBEsol | optimized geometry" formation_energy_uncorrected_ev_per_atom=-2.6738 pbc="T T T"
Sr 5.9546 -11.0360 3.6091
Sr -0.6554 -4.6918 1.1645
Li 2.4932 -7.5076 3.7344
Li 2.8060 -8.2202 1.0391
Nb 0.8803 -1.6315 0.5335
Nb 2.7839 -5.1595 1.6873
Nb 4.4189 -14.0963 4.2400
Nb 2.5154 -10.5683 3.0862
O 0.0000 0.0000 0.0000
O 5.3988 -12.8927 5.4955
O 3.6890 -9.7238 4.4592
O 1.2974 -5.2914 3.0097
O -0.4124 -2.1225 1.9733
O 3.6466 -6.7585 2.2102
O 1.8247 -3.3817 1.1059
O 3.4746 -12.3461 3.6676
O 1.6526 -8.9694 2.5633
O 4.0018 -10.4364 1.7639
O 5.7117 -13.6054 2.8002
O -0.0996 -2.8351 -0.7220
O 1.6103 -6.0041 0.3144

[14]
12
Lattice="-1.4170 -3.0485 -2.6990 -3.6469 -2.6531 4.9114 -5.8921 4.4730 -1.9588" Properties=species:S:1:pos:R:3 comment="LuAlPt | Alexandria | GGA-PBEsol | optimized geometry" ef_ev_per_fu=-3.6 dos_at_fermi_per_ev_cell=4.70 pbc="T T T"
Lu -8.6090 -1.8199 1.4108
Lu -7.6106 0.1330 -1.3191
Lu -2.3470 0.5913 -1.1572
Lu -3.3454 -1.3616 1.5728
Al -6.0154 0.0409 1.3905
Al -4.5469 -4.2793 2.0560
Al -6.4092 3.0507 -1.8023
Al -4.9406 -1.2695 -1.1368
Pt -8.3371 1.1447 1.3627
Pt -4.9737 1.3022 -0.5811
Pt -2.6189 -2.3733 -1.1090
Pt -5.9823 -2.5308 0.8347

[15]
6
Lattice="-0.3259 -2.3454 -3.2735 3.4599 1.9885 0.6303 -0.3127 -2.5942 3.1832" Properties=species:S:1:pos:R:3 comment="MnCoB | Alexandria | GGA-PBEsol | optimized geometry" ef_ev_per_fu=-1.1 dos_at_fermi_per_ev_cell=5.32 pbc="T T T"
B 0.4642 -2.5590 -0.7060
B 2.3571 -0.3920 1.2460
Co 0.4149 -0.9171 0.6157
Co 2.4065 -2.0339 -0.0758
Mn 2.1756 0.5183 -0.6940
Mn 0.9584 -0.8751 -1.9492

[16]
80
Lattice="-2.3591 4.1523 10.1904 -9.5815 -2.5759 -5.3113 6.2931 -9.2661 1.0897" Properties=species:S:1:pos:R:3 comment="Sr3Tm2Ge3O12 | Alexandria | GGA-PBEsol | optimized geometry" formation_energy_uncorrected_ev_per_atom=-2.7375 dos_at_fermi_per_ev_cell=0.00 pbc="T T T"
Sr -9.3665 -0.2979 3.1316
Sr 3.7190 -7.3917 2.8372
Sr -4.2183 -4.0466 -0.3634
Sr -3.6729 1.8310 7.7250
Sr -6.3006 -2.8115 2.7941
Sr -1.4292 -3.6430 6.3321
Sr -1.9746 -9.5207 -1.7562
Sr 0.6531 -4.8782 3.1746
Sr -5.1384 -6.6082 2.5388
Sr -0.5091 -1.0814 3.4299
Sr -6.4794 -0.2932 5.8694
Sr 0.8319 -7.3965 0.0993
Tm 0.0000 0.0000 0.0000
Tm 1.9670 -2.5569 5.6400
Tm -1.6442 -5.9210 -2.1108
Tm -2.8238 -3.8448 2.9844
Tm -5.9703 0.7882 2.4395
Tm -1.1795 2.0762 5.0952
Tm -4.7908 -1.2879 -2.6557
Tm 3.1465 -4.6330 0.5449
Ge -0.6071 -0.6825 7.3875
Ge -5.0404 -7.0071 -1.4188
Ge -3.3962 -1.0861 0.6921
Ge 1.6366 -6.1566 5.9946
Ge -7.2841 -1.5330 -0.0259
Ge -2.2513 -6.6035 5.2767
Ge -5.3171 -4.0899 5.6141
Ge -0.3304 -3.5997 0.3546
Ge -2.1533 -7.0024 1.3191
Ge -3.4942 -0.6873 4.6497
Ge -7.1054 -4.0514 -3.1012
Ge 1.4579 -3.6383 9.0699
O -3.2888 -8.2299 1.9279
O -2.3587 0.5402 4.0408
O -3.0817 -5.5024 1.5536
O -5.5656 -3.3494 -2.5507
O -1.3022 0.8973 6.9544
O -7.2884 -5.2664 2.5052
O -2.5658 -2.1873 4.4152
O -0.0819 -4.3402 8.5194
O -4.3453 -8.5870 -0.9856
O 1.6409 -2.4232 3.4636
O -8.9404 -0.8735 5.6954
O -8.9250 -2.7914 3.2390
O 2.6866 -4.8585 9.4801
O 3.2929 -6.8162 0.2734
O 3.2775 -4.8982 2.7297
O -8.3341 -2.8311 -3.5113
O -3.9283 -2.5040 1.6267
O -3.9914 -0.4179 6.3370
O -1.7192 -5.1857 4.3421
O -1.6561 -7.2717 -0.3682
O -3.4325 -1.7151 -0.9722
O -5.0609 -0.6841 3.8057
O -2.2150 -5.9745 6.9410
O -0.5866 -7.0055 2.1631
O 3.2558 -6.1366 6.7328
O -6.6363 -3.1570 0.3057
O -8.9033 -1.5531 -0.7641
O 0.9888 -4.5327 5.6630
O -6.5983 -2.8929 5.3098
O -2.1101 2.0145 9.7119
O 0.9508 -4.7968 0.6589
O -3.5374 -9.7041 -3.7431
O -4.7160 -4.4031 3.9687
O -1.5897 -4.1777 -0.7620
O -0.9315 -3.2866 2.0000
O -4.0578 -3.5119 6.7308
O -5.5956 2.2056 6.1165
O -7.2520 -0.7930 1.5922
O -0.0519 -9.8952 -0.1477
O 1.6045 -6.8966 4.3766
O -7.5163 1.2298 3.9482
O 1.8688 -8.9194 2.0206
O -3.8478 -7.2176 4.7858
O -1.7997 -0.4721 1.1830
O -3.8482 -5.8675 -2.0872
O -1.7993 -1.8222 8.0559
O -5.6642 -6.0999 -0.0206
O 0.0167 -1.5897 5.9894

[17]
5
Lattice="-3.3885 0.3270 1.6685 0.9736 -2.6767 2.5019 1.3938 2.6647 2.3085" Properties=species:S:1:pos:R:3 comment="RbBeF3 | Alexandria | GGA-PBEsol | optimized geometry" formation_energy_uncorrected_ev_per_atom=-2.7678 dos_at_fermi_per_ev_cell=0.00 pbc="T T T"
Be -0.5105 0.1575 3.2394
Rb 0.0000 0.0000 0.0000
F 1.1837 -0.0060 2.4052
F -0.9973 1.4958 1.9885
F -1.2074 -1.1749 2.0852

[18]
5
Lattice="-0.3935 4.8193 -0.4956 -1.1306 0.3922 4.7111 4.7110 0.4966 1.0892" Properties=species:S:1:pos:R:3 comment="PdPtSe3 | Alexandria | GGA-PBEsol | optimized geometry" formation_energy_uncorrected_ev_per_atom=0.7639 dos_at_fermi_per_ev_cell=7.23 pbc="T T T"
Se -0.5653 0.1961 2.3555
Se 2.3555 0.2483 0.5446
Se -0.1967 2.4097 -0.2478
Pd 1.5934 2.8541 2.6523
Pt 0.0000 0.0000 0.0000

[19]
4
Lattice="-1.7383 3.6288 1.6619 -4.1013 -0.0218 1.4597 -0.7915 0.2758 4.2719" Properties=species:S:1:pos:R:3 comment="Tc2GeBr | Alexandria | GGA-PBEsol | optimized geometry" formation_energy_uncorrected_ev_per_atom=0.5241 dos_at_fermi_per_ev_cell=3.52 pbc="T T T"
Ge 0.0000 0.0000 0.0000
Tc -1.6578 0.9707 1.8484
Tc -4.9733 2.9121 5.5451
Br -3.3156 1.9414 3.6967

[20]
3
Lattice="-0.5473 -1.8243 2.3951 2.2909 -0.6458 -1.9232 3.5848 3.1445 3.2143" Properties=species:S:1:pos:R:3 comment="CuW2 | Alexandria | GGA-PBEsol | optimized geometry" ef_ev_per_fu=2.0 e_above_lowest_polymorph_ev_per_fu=0.91 dos_at_fermi_per_ev_cell=1.69 pbc="T T T"
Cu 0.0000 0.0000 0.0000
W 2.5746 0.0401 0.6189
W 2.7538 0.6344 3.0673